Below is crystalline TaAlAg at its relaxed geometry, with properties calculated at the PBE level.

Geometry as POSCAR:
```
TaAlAg
1.0
-6.121 -1.015 -2.158
-4.534 -1.888 -4.362
-0.474 -2.715 0.735
Al Ag Ta
1 1 1
Cartesian
-3.861 -2.778 -1.679
-10.595 -2.902 -6.476
-7.328 -2.842 -4.149
```

Computed properties:
volume: 50.9 Å³ per cell
density of states at the Fermi level: 1.678 states/eV/cell
space-group type: I4mm
formation energy: -41.4 meV per atom